1.
ZrCd2Ag, relaxed, DFT PBE; DOS(E_F) = 2.705 states/eV per cell; DFT total energy = -3.326 eV per atom; E_form = -0.019 eV/atom
1.0
0.0000 3.4410 3.4410
3.4410 0.0000 3.4410
3.4410 3.4410 0.0000
Zr Ag Cd
1 1 2
Direct
0.0000 0.0000 0.0000
0.5000 0.5000 0.5000
0.2500 0.2500 0.2500
0.7500 0.7500 0.7500

2.
ZrCd3Ag2, relaxed, DFT PBE; DOS(E_F) = 3.590 states/eV per cell; DFT total energy = -2.916 eV per atom; E_form = -0.084 eV/atom
1.0
3.1228 0.0000 0.0000
0.0000 3.1228 0.0000
0.0000 0.0000 12.4283
Zr Cd Ag
1 3 2
Direct
0.5000 0.5000 0.5000
0.0000 0.0000 0.0000
0.0000 0.0000 0.6783
0.0000 0.0000 0.3217
0.5000 0.5000 0.8390
0.5000 0.5000 0.1610

3.
Zr3Cd4Ag, relaxed, DFT PBE; DOS(E_F) = 8.287 states/eV per cell; DFT total energy = -4.117 eV per atom; E_form = -0.097 eV/atom
1.0
3.1408 0.0000 0.0000
0.0000 3.1408 0.0000
0.0000 0.0000 17.1347
Ag Zr Cd
1 3 4
Direct
0.5000 0.5000 0.0000
0.5000 0.5000 0.2453
0.5000 0.5000 0.5000
0.5000 0.5000 0.7547
0.0000 0.0000 0.8849
0.0000 0.0000 0.1151
0.0000 0.0000 0.3719
0.0000 0.0000 0.6281